A plane-wave DFT calculation with PBE+U was carried out for an optimized crystal structure of MnW2O.

Properties
- DFT total energy (eV/atom) = -6.2260

Geometry as CIF:
```
data_MnW2O
_chemical_formula_sum 'Mn4 W8 O4'
_symmetry_space_group_name_H-M 'I -4 2 d'
_symmetry_Int_Tables_number 122
_symmetry_space_group_name_Hall 'I -4 2bw'
_cell_length_a 6.892
_cell_length_b 6.892
_cell_length_c 5.647
_cell_angle_alpha 90.00
_cell_angle_beta 90.00
_cell_angle_gamma 90.00
loop_
_atom_site_label
_atom_site_fract_x
_atom_site_fract_y
_atom_site_fract_z
_atom_site_occupancy
Mn1 0.000 0.000 0.000 1
W1 0.139 0.250 0.625 1
O1 0.000 0.000 0.500 1
```